Compound: PmGePO
Source: OQMD
Functional: PBE-GGA
Structure: optimized geometry

abc: 4.160 4.160 8.886
angles: 90.00 90.00 90.00
Space group P4/nmm (No. 129, origin choice 2)
One atom of each set of equivalent atoms:
Pm1 0.250 0.250 0.122 x2
Ge1 0.250 0.750 0.500 x2
P1 0.250 0.250 0.680 x2
O1 0.250 0.750 0.000 x2

Calculated values
VASP energy   -0.2339 hartree per atom
Energy relative to the lowest polymorph listed for this composition   0.0 kJ/mol of formula units